(w)
# Pr2Ga6Rh

A relaxed structure of Pr2Ga6Rh (PBE-GGA, Alexandria).

The structure in extended XYZ format:
```
9
Lattice="-1.477 -5.604 -2.516 4.544 -4.225 -1.190 0.431 -5.245 3.496" Properties=species:S:1:pos:R:3 pbc="T T T"
Ga 0.537 -8.973 0.366
Ga 3.148 -8.375 0.941
Ga 1.178 -6.543 1.457
Ga 2.961 -6.101 -0.575
Ga 0.350 -6.699 -1.150
Ga 2.321 -8.531 -1.666
Rh 0.000 0.000 0.000
Pr 0.875 -3.768 -0.052
Pr 2.624 -11.305 -0.157
```

Results
Space group: Fm-3m (225)
ρ (g cm⁻³): 7.5
M_tot (Bohr magnetons per cell): 0.0
Crystal system: cubic


(x)
# Pr2Ga6Rh

A relaxed structure of Pr2Ga6Rh (PBE-GGA, Alexandria).

The structure in extended XYZ format:
```
9
Lattice="5.612 -0.029 -0.017 0.032 6.075 0.006 0.032 3.032 5.265" Properties=species:S:1:pos:R:3 pbc="T T T"
Ga 3.871 4.471 0.906
Ga 3.871 3.013 3.425
Ga 1.805 4.607 4.347
Ga 3.857 1.563 0.905
Ga 1.805 6.064 1.828
Ga 1.819 7.514 4.349
Rh 0.000 0.000 0.000
Pr 4.624 6.047 3.499
Pr 1.052 3.031 1.754
```

Results
Space group: P-3m1 (164)
ρ (g cm⁻³): 7.4
M_tot (Bohr magnetons per cell): 0.0
Crystal system: trigonal


Calculated relative energies: (w) 0; (x) 73, given in meV per atom


(w)
# PrGa4Rh2

A relaxed structure of PrGa4Rh2 (PBE-GGA, Alexandria).

The structure in extended XYZ format:
```
28
Lattice="4.392 0.000 0.000 0.000 6.579 0.000 0.000 0.000 17.317" Properties=species:S:1:pos:R:3 pbc="T T T"
Pr 1.098 3.349 14.917
Pr 3.294 0.059 11.058
Pr 3.294 3.230 2.400
Pr 1.098 6.519 6.259
Rh 1.098 4.966 9.328
Rh 3.294 6.518 3.681
Rh 1.098 0.061 13.636
Rh 3.294 1.677 16.648
Rh 3.294 1.613 7.989
Rh 3.294 3.350 12.339
Rh 1.098 4.902 0.669
Rh 1.098 3.229 4.978
Ga 1.098 4.673 11.944
Ga 1.098 2.202 0.582
Ga 3.294 4.566 5.405
Ga 3.294 6.518 1.177
Ga 1.098 0.061 16.140
Ga 1.098 5.195 3.286
Ga 3.294 5.302 14.063
Ga 1.098 2.012 11.912
Ga 3.294 4.377 16.735
Ga 3.294 3.350 9.835
Ga 1.098 1.277 3.254
Ga 3.294 1.383 14.031
Ga 3.294 5.491 8.077
Ga 1.098 3.229 7.482
Ga 3.294 1.906 5.373
Ga 1.098 1.088 9.240
```

Results
Space group: Pnma (62)
ρ (g cm⁻³): 8.3
M_tot (Bohr magnetons per cell): 0.0
Crystal system: orthorhombic


(x)
# PrGa4Rh2

A relaxed structure of PrGa4Rh2 (PBE-GGA, Alexandria).

The structure in extended XYZ format:
```
7
Lattice="-2.430 1.982 -5.102 -2.397 -4.438 3.228 -0.421 4.731 3.648" Properties=species:S:1:pos:R:3 pbc="T T T"
Pr 0.000 0.000 0.000
Ga -3.102 -1.157 0.742
Ga -2.147 3.431 1.032
Ga -3.109 0.411 -1.292
Ga -2.139 1.864 3.066
Rh -2.616 -0.468 2.970
Rh -2.632 2.743 -1.196
```

Results
Space group: I4/mmm (139)
ρ (g cm⁻³): 6.6
M_tot (Bohr magnetons per cell): 0.0
Crystal system: tetragonal


Calculated relative energies: (w) 0; (x) 421, given in meV per atom


(w)
# Pr3Ga2Rh3

A relaxed structure of Pr3Ga2Rh3 (PBE-GGA, Alexandria).

The structure in extended XYZ format:
```
16
Lattice="4.121 0.000 0.000 -2.060 5.968 0.000 0.000 0.000 14.298" Properties=species:S:1:pos:R:3 pbc="T T T"
Ga 0.000 2.662 5.982
Ga 2.060 3.306 13.131
Ga 2.060 3.306 8.316
Ga 0.000 2.662 1.167
Rh 2.060 1.265 0.608
Rh 0.000 4.703 13.690
Rh 0.000 4.703 7.757
Rh 2.060 2.084 10.723
Rh 2.060 1.265 6.541
Rh 0.000 3.884 3.574
Pr 2.060 5.043 1.594
Pr 0.000 4.151 10.723
Pr 2.060 1.817 3.574
Pr 0.000 0.924 12.704
Pr 2.060 5.043 5.555
Pr 0.000 0.924 8.743
```

Results
Space group: Cmcm (63)
ρ (g cm⁻³): 8.2
M_tot (Bohr magnetons per cell): 0.0
Crystal system: orthorhombic


(x)
# Pr3Ga2Rh3

A relaxed structure of Pr3Ga2Rh3 (PBE-GGA, Alexandria).

The structure in extended XYZ format:
```
32
Lattice="-4.121 2.346 -3.533 -5.468 -1.536 5.357 2.359 13.674 6.329" Properties=species:S:1:pos:R:3 pbc="T T T"
Pr -5.002 9.460 3.687
Pr -0.749 13.696 3.554
Pr -1.430 9.751 1.727
Pr -2.227 5.024 4.466
Pr -3.543 10.135 6.987
Pr -5.799 4.733 6.426
Pr -2.908 1.078 2.640
Pr -7.587 4.245 2.844
Pr -3.685 4.349 1.166
Pr -4.321 13.406 5.513
Pr 0.358 10.238 5.310
Pr -6.480 0.788 4.600
Ga -5.772 1.943 1.682
Ga -3.939 3.224 -1.769
Ga -2.157 8.478 4.591
Ga -1.456 12.541 6.471
Ga -3.238 7.287 0.112
Ga -3.289 11.260 9.922
Ga -3.990 7.197 8.042
Ga -5.071 6.006 3.563
Rh -3.147 13.095 8.262
Rh -4.802 3.356 3.728
Rh -0.059 7.272 4.056
Rh -4.151 7.278 5.569
Rh -2.426 11.128 4.426
Rh -7.170 7.212 4.098
Rh -6.516 11.132 5.942
Rh 0.945 13.090 6.748
Rh -8.174 1.394 1.405
Rh -3.077 7.206 2.584
Rh -0.713 3.352 2.212
Rh -4.081 1.389 -0.108
```

Results
Space group: Pnma (62)
ρ (g cm⁻³): 8.2
M_tot (Bohr magnetons per cell): 0.0
Crystal system: orthorhombic


Calculated relative energies: (w) 5; (x) 0, given in meV per atom


(w)
# PrSmGaRh

A relaxed structure of PrSmGaRh (PBE-GGA, Alexandria).

The structure in extended XYZ format:
```
4
Lattice="-1.852 2.293 -3.275 -3.581 -0.960 1.352 0.912 3.470 4.878" Properties=species:S:1:pos:R:3 pbc="T T T"
Rh -0.012 3.835 2.691
Sm -2.727 4.051 1.413
Ga -2.718 1.277 -0.533
Pr -0.004 1.403 0.985
```

Results
Space group: Amm2 (38)
ρ (g cm⁻³): 7.9
M_tot (Bohr magnetons per cell): 0.0
Crystal system: orthorhombic


(x)
# PrSmGaRh

A relaxed structure of PrSmGaRh (PBE-GGA, Alexandria).

The structure in extended XYZ format:
```
4
Lattice="5.119 0.000 0.000 2.560 4.433 0.000 2.560 1.478 4.180" Properties=species:S:1:pos:R:3 pbc="T T T"
Pr 2.560 1.478 1.045
Rh 5.119 2.956 2.090
Sm 7.679 4.433 3.135
Ga 0.000 0.000 0.000
```

Results
Space group: F-43m (216)
ρ (g cm⁻³): 8.1
M_tot (Bohr magnetons per cell): 0.0
Crystal system: cubic


Calculated relative energies: (w) 0; (x) 113, given in meV per atom


(w)
# PrTmGaRh

A relaxed structure of PrTmGaRh (PBE-GGA, Alexandria).

The structure in extended XYZ format:
```
4
Lattice="5.038 0.000 0.000 2.519 4.363 0.000 2.519 1.454 4.114" Properties=species:S:1:pos:R:3 pbc="T T T"
Ga 2.519 1.454 1.028
Tm 0.000 0.000 0.000
Pr 5.038 2.909 2.057
Rh 7.557 4.363 3.085
```

Results
Space group: F-43m (216)
ρ (g cm⁻³): 8.9
M_tot (Bohr magnetons per cell): 0.0
Crystal system: cubic


(x)
# PrTmGaRh

A relaxed structure of PrTmGaRh (PBE-GGA, Alexandria).

The structure in extended XYZ format:
```
4
Lattice="4.313 0.000 0.000 0.000 3.886 0.000 -2.156 0.000 5.634" Properties=species:S:1:pos:R:3 pbc="T T T"
Ga 2.156 1.943 0.716
Rh 0.000 0.000 4.656
Pr 0.000 0.000 1.740
Tm 2.156 1.943 4.156
```

Results
Space group: Amm2 (38)
ρ (g cm⁻³): 8.5
M_tot (Bohr magnetons per cell): 0.0
Crystal system: orthorhombic


Calculated relative energies: (w) 94; (x) 0, given in meV per atom